! CeZn3Pd2 (meta-GGA SCAN, PBEsol geometry); values from VASP
&SYSTEM
  ibrav = 0, nat = 6, ntyp = 3
/
ATOMIC_SPECIES
Zn 65.41 Zn.upf
Pd 106.42 Pd.upf
Ce 140.12 Ce.upf
CELL_PARAMETERS angstrom
4.324 0.000 0.000
0.000 5.208 0.000
0.000 -2.604 4.510
ATOMIC_POSITIONS angstrom
Zn 2.162 -1.302 2.255
Pd 0.000 0.000 3.007
Zn 2.162 1.302 2.255
Ce 0.000 0.000 0.000
Pd 0.000 2.604 1.503
Zn 2.162 2.604 0.000
! M_tot in Bohr magnetons per cell: 1.2
! Raw total energy in eV/f.u.: -154.283
! E_form in eV/atom: -0.604

---

! ErB4Rh4 (meta-GGA SCAN, PBEsol geometry); values from VASP
&SYSTEM
  ibrav = 0, nat = 18, ntyp = 3
/
ATOMIC_SPECIES
B 10.81 B.upf
Rh 102.91 Rh.upf
Er 167.26 Er.upf
CELL_PARAMETERS angstrom
-2.744 -4.450 0.639
4.351 -2.817 -0.932
1.574 0.059 7.172
ATOMIC_POSITIONS angstrom
B 0.708 -2.654 6.264
Rh 2.115 -4.325 0.667
Rh -1.045 -3.305 5.111
B 2.456 -0.890 4.347
B 3.578 -4.512 5.650
B 3.938 -1.850 4.029
Rh 3.827 -2.095 1.841
Rh -0.049 -2.924 1.130
B 1.943 -2.157 0.711
B -1.287 -2.962 2.946
B 0.133 -5.092 1.132
Rh 1.640 -0.680 2.309
Rh 2.830 -2.476 5.821
B -0.352 -1.446 2.728
Rh 0.334 -1.068 4.790
Rh 1.466 -4.689 6.139
Er 1.591 -3.604 3.439
Er 0.000 0.000 0.000
! E above lowest polymorph in eV per atom: 0.0000
! M_tot in Bohr magnetons per cell: 0.0
! Raw total energy in eV/f.u.: -221.306
! E_form in eV/atom: -0.685

---

Question: What is the E_form in the first record?
Answer: -0.604 eV/atom

---

Question: Which formula does entry 2 have?
Answer: ErB4Rh4